## La2CoO4 (PBE+U)

Data for an optimized crystal structure of La2CoO4.

POSCAR file:
```
La2CoO4
1.0
-2.831 4.552 1.207
-4.168 -3.213 2.342
4.293 -1.960 4.952
La Co O
4 2 8
Direct
0.638 0.018 0.276
0.138 0.482 0.276
0.362 0.982 0.724
0.862 0.518 0.724
0.000 0.000 0.000
0.500 0.500 0.000
0.818 0.926 0.636
0.229 0.250 0.959
0.729 0.250 0.959
0.271 0.750 0.041
0.182 0.074 0.364
0.771 0.750 0.041
0.682 0.426 0.364
0.318 0.574 0.636
```

Values from the calculation:
* raw total energy: -107.55 eV per cell
* symmetry: Cmce, No. 64